(1)
Here is a relaxed structure of BeRhI3 from Alexandria via LeMat-Bulk. Energies are from PBE.

Values from the calculation:
formation energy from raw total energies	3.33	eV/f.u.
magnetic moment	0.061	μB per atom
electronic total energy	-2.480	eV per atom

Unit cell a=5.407 b=5.407 c=5.407 alpha=90.00 beta=90.00 gamma=90.00
Space group Pm-3m (No. 221)
Unique sites:
Be  0.000  0.000  0.000
Rh  0.500  0.500  0.500
I  0.000  0.500  0.500

(2)
Here is a relaxed structure of Cs2AuBr from Alexandria via LeMat-Bulk. Energies are from PBE.

Values from the calculation:
formation energy from raw total energies	-4.20	eV/f.u.
magnetic moment	0.000	μB per atom
electronic total energy	-2.714	eV per atom

Unit cell a=5.115 b=28.056 c=5.220 alpha=90.00 beta=90.00 gamma=90.00
Space group Cmcm (No. 63)
Unique sites:
Cs  0.000  0.061  0.250
Cs  0.000  0.319  0.250
Au  0.000  0.466  0.250
Br  0.000  0.188  0.250

(3)
Here is a relaxed structure of Sr2Hg7Pb from Alexandria via LeMat-Bulk. Energies are from PBE.

Values from the calculation:
magnetic moment	0.000	μB per atom
electronic total energy	-0.914	eV per atom
energy relative to the elements	0.004	eV/atom

Unit cell a=11.354 b=11.354 c=11.354 alpha=90.00 beta=90.00 gamma=90.00
Space group Fm-3m (No. 225)
Unique sites:
Sr  0.250  0.250  0.250
Hg  0.000  0.000  0.000
Hg  0.000  0.000  0.245
Pb  0.000  0.000  0.500

(4)
Here is a relaxed structure of NpAgPbBr6 from Alexandria via LeMat-Bulk. Energies are from PBE.

Values from the calculation:
formation energy from raw total energies	-8.42	eV/f.u.
magnetic moment	0.444	μB per atom
electronic total energy	-4.218	eV per atom

Unit cell a=7.4200 b=7.4200 c=13.0325 alpha=90.00 beta=90.00 gamma=120.00
Space group P-31c (No. 163)
Unique sites:
Np  0.3333  0.6667  0.2500
Ag  0.0000  0.0000  0.0000
Pb  0.3333  0.6667  0.7500
Br  0.0179  0.3437  0.1221

(5)
Here is a relaxed structure of Sc2VZnRu from Alexandria via LeMat-Bulk. Energies are from PBE.

Values from the calculation:
magnetic moment	0.000	μB per atom
electronic total energy	-5.923	eV per atom
energy relative to the elements	0.543	eV/atom

Unit cell a=4.896 b=4.896 c=4.361 alpha=90.00 beta=90.00 gamma=90.00
Space group P4/mmm (No. 123)
Unique sites:
Sc  0.000  0.500  0.000
V  0.000  0.000  0.000
Zn  0.500  0.500  0.500
Ru  0.000  0.000  0.500

(6)
Here is a relaxed structure of Pm6Dy2Tm3Tl from Alexandria via LeMat-Bulk. Energies are from PBE.

Values from the calculation:
magnetic moment	0.000	μB per atom
electronic total energy	-4.470	eV per atom
energy relative to the elements	-0.012	eV/atom

Unit cell a=6.158 b=10.686 c=11.743 alpha=90.00 beta=100.15 gamma=90.00
Space group C2/m (No. 12)
Unique sites:
Pm  0.245  0.000  0.249
Pm  0.248  0.164  0.750
Dy  0.000  0.334  0.500
Tm  0.000  0.167  0.000
Tm  0.000  0.500  0.000
Tl  0.000  0.000  0.500

(7)
Here is a relaxed structure of KSmTiSnO6 from Alexandria via LeMat-Bulk. Energies are from PBE.

Values from the calculation:
formation energy from raw total energies	-24.13	eV/f.u.
magnetic moment	0.000	μB per atom
electronic total energy	-7.160	eV per atom

Unit cell a=7.990 b=7.990 c=7.990 alpha=90.00 beta=90.00 gamma=90.00
Space group F-43m (No. 216)
Unique sites:
K  0.000  0.000  0.000
Sm  0.000  0.000  0.500
Ti  0.250  0.250  0.250
Sn  0.250  0.250  0.750
O  0.006  0.250  0.250

(8)
Here is a relaxed structure of Ta5Mo3 from Alexandria via LeMat-Bulk. Energies are from PBE.

Values from the calculation:
magnetic moment	0.000	μB per atom
electronic total energy	-11.633	eV per atom
energy relative to the elements	-0.163	eV/atom

Unit cell a=5.425 b=4.554 c=5.666 alpha=90.00 beta=100.26 gamma=90.00
Space group P2/m (No. 10)
Unique sites:
Ta  0.000  0.000  0.000
Ta  0.239  0.500  0.376
Ta  0.483  0.000  0.747
Mo  0.000  0.000  0.500
Mo  0.257  0.500  0.881